Entry 1:
PtRhPb at its PBEsol-relaxed geometry, computed with meta-GGA SCAN.

- density (g cm⁻³) = 14.25
- energy of formation from the pure elements (kJ/mol of formula units) = 42
- density of states at the Fermi level (states/eV/atom) = 0.8045

a = 4.366 Å, b = 4.366 Å, c = 4.366 Å
α = 60.00°, β = 60.00°, γ = 60.00°
Element x y z (fractional)
1 Pb 0.000 0.000 0.000
2 Pt 0.500 0.500 0.500
3 Rh 0.250 0.250 0.250

---

Entry 2:
ScTlZn2 at its PBEsol-relaxed geometry, computed with meta-GGA SCAN.

- density (g cm⁻³) = 7.88
- energy of formation from the pure elements (kJ/mol of formula units) = 25
- density of states at the Fermi level (states/eV/atom) = 0.8889
- polymorph energy (0 for the lowest one) (meV per atom) = 254

a = 3.275 Å, b = 3.275 Å, c = 8.829 Å
α = 79.31°, β = 79.31°, γ = 60.00°
Element x y z (fractional)
1 Sc 0.492 0.492 0.523
2 Tl 0.255 0.255 0.236
3 Zn 0.008 0.008 0.975
4 Zn 0.744 0.744 0.767

---

Entry 3:
NbPBr2 at its PBEsol-relaxed geometry, computed with meta-GGA SCAN.

- density (g cm⁻³) = 4.50
- formation energy from raw total energies (eV/atom) = -0.15
- density of states at the Fermi level (states/eV/atom) = 0.6065

a = 4.772 Å, b = 7.037 Å, c = 7.037 Å
α = 83.40°, β = 70.18°, γ = 70.18°
Site moments in Bohr magnetons follow the coordinates.
Element x y z (fractional)
1 P 0.500 0.000 0.000  -0.07
2 P 0.250 0.500 0.500  -0.07
3 Nb 0.000 0.000 0.000  0.26
4 Nb 0.750 0.500 0.500  0.26
5 Br 0.875 0.139 0.361  -0.01
6 Br 0.375 0.861 0.639  -0.01
7 Br 0.764 0.361 0.861  -0.01
8 Br 0.986 0.639 0.139  -0.01

---

Entry 4:
TcPt2Br at its PBEsol-relaxed geometry, computed with meta-GGA SCAN.

- density (g cm⁻³) = 14.53
- formation energy from raw total energies (eV/atom) = 0.42
- density of states at the Fermi level (states/eV/atom) = 0.5556
- polymorph energy (0 for the lowest one) (meV per atom) = 142

a = 2.872 Å, b = 2.872 Å, c = 7.866 Å
α = 90.00°, β = 90.00°, γ = 90.00°
Element x y z (fractional)
1 Br 0.500 0.500 0.707
2 Tc 0.000 0.000 0.489
3 Pt 0.000 0.000 0.031
4 Pt 0.500 0.500 0.272

---

no.,magnetization (μB/f.u.)
1,0.0
2,0.0
3,0.1
4,0.0